KHfO3 at its PBEsol-relaxed geometry. Source: Alexandria via LeMat-Bulk, functional SCAN.

The structure in POSCAR format:
```
KHfO3
1.0
4.130 0.000 0.000
0.000 4.130 0.000
0.000 0.000 4.130
K Hf O
1 1 3
direct
0.000 0.000 0.000 K
0.500 0.500 0.500 Hf
0.000 0.500 0.500 O
0.500 0.000 0.500 O
0.500 0.500 0.000 O
```

Calculated values
Total magnetic moment ... 1.01 μB per formula unit
Symmetry ... Pm-3m



K2YHfP3O12 at its PBEsol-relaxed geometry. Source: Alexandria via LeMat-Bulk, functional SCAN.

The structure in POSCAR format:
```
K2YHfP3O12
1.0
10.367 0.000 0.000
0.000 10.367 0.000
0.000 0.000 10.367
K Y Hf P O
8 4 4 12 48
direct
0.072 0.428 0.572 K
0.198 0.802 0.302 K
0.302 0.198 0.802 K
0.428 0.572 0.072 K
0.572 0.072 0.428 K
0.698 0.698 0.698 K
0.802 0.302 0.198 K
0.928 0.928 0.928 K
0.080 0.580 0.920 Y
0.420 0.420 0.420 Y
0.580 0.920 0.080 Y
0.920 0.080 0.580 Y
0.145 0.145 0.145 Hf
0.355 0.855 0.645 Hf
0.645 0.355 0.855 Hf
0.855 0.645 0.355 Hf
0.043 0.758 0.621 P
0.121 0.457 0.242 P
0.242 0.121 0.457 P
0.258 0.879 0.957 P
0.379 0.543 0.742 P
0.457 0.242 0.121 P
0.543 0.742 0.379 P
0.621 0.043 0.758 P
0.742 0.379 0.543 P
0.758 0.621 0.043 P
0.879 0.957 0.258 P
0.957 0.258 0.879 P
0.001 0.529 0.295 O
0.010 0.391 0.844 O
0.022 0.661 0.730 O
0.029 0.205 0.999 O
0.084 0.312 0.235 O
0.109 0.156 0.510 O
0.156 0.510 0.109 O
0.161 0.770 0.978 O
0.188 0.765 0.584 O
0.205 0.999 0.029 O
0.230 0.478 0.339 O
0.235 0.084 0.312 O
0.265 0.916 0.812 O
0.270 0.522 0.839 O
0.295 0.001 0.529 O
0.312 0.235 0.084 O
0.339 0.230 0.478 O
0.344 0.490 0.609 O
0.391 0.844 0.010 O
0.416 0.688 0.735 O
0.471 0.795 0.499 O
0.478 0.339 0.230 O
0.490 0.609 0.344 O
0.499 0.471 0.795 O
0.501 0.971 0.705 O
0.510 0.109 0.156 O
0.522 0.839 0.270 O
0.529 0.295 0.001 O
0.584 0.188 0.765 O
0.609 0.344 0.490 O
0.656 0.990 0.891 O
0.661 0.730 0.022 O
0.688 0.735 0.416 O
0.705 0.501 0.971 O
0.730 0.022 0.661 O
0.735 0.416 0.688 O
0.765 0.584 0.188 O
0.770 0.978 0.161 O
0.795 0.499 0.471 O
0.812 0.265 0.916 O
0.839 0.270 0.522 O
0.844 0.010 0.391 O
0.891 0.656 0.990 O
0.916 0.812 0.265 O
0.971 0.705 0.501 O
0.978 0.161 0.770 O
0.990 0.891 0.656 O
0.999 0.029 0.205 O
```

Calculated values
Total magnetic moment ... 0.00 μB per formula unit
Symmetry ... P2_13



K2HfScO at its PBEsol-relaxed geometry. Source: Alexandria via LeMat-Bulk, functional SCAN.

The structure in POSCAR format:
```
K2HfScO
1.0
7.173 0.000 0.000
0.000 7.173 0.000
0.000 0.000 3.873
K Hf Sc O
2 1 1 1
direct
0.000 0.500 0.000 K
0.500 0.000 0.000 K
0.000 0.000 0.000 Hf
0.500 0.500 0.500 Sc
0.000 0.000 0.500 O
```

Calculated values
Total magnetic moment ... 1.11 μB per formula unit
Symmetry ... P4/mmm



KHfPPd2 at its PBEsol-relaxed geometry. Source: Alexandria via LeMat-Bulk, functional SCAN.

The structure in POSCAR format:
```
KHfPPd2
1.0
4.487 0.000 0.000
0.000 4.487 0.000
0.000 0.000 5.161
K Hf P Pd
1 1 1 2
direct
0.000 0.000 0.000 K
0.500 0.500 0.000 Hf
0.000 0.000 0.500 P
0.000 0.500 0.500 Pd
0.500 0.000 0.500 Pd
```

Calculated values
Total magnetic moment ... 0.00 μB per formula unit
Symmetry ... P4/mmm



K2HfTcPb at its PBEsol-relaxed geometry. Source: Alexandria via LeMat-Bulk, functional SCAN.

The structure in POSCAR format:
```
K2HfTcPb
1.0
6.046 0.000 0.000
0.000 6.046 0.000
0.000 0.000 4.628
K Hf Tc Pb
2 1 1 1
direct
0.000 0.500 0.000 K
0.500 0.000 0.000 K
0.000 0.000 0.500 Hf
0.000 0.000 0.000 Tc
0.500 0.500 0.500 Pb
```

Calculated values
Total magnetic moment ... 1.11 μB per formula unit
Symmetry ... P4/mmm



KSrHfPd2 at its PBEsol-relaxed geometry. Source: Alexandria via LeMat-Bulk, functional SCAN.

The structure in POSCAR format:
```
KSrHfPd2
1.0
4.967 0.000 0.000
0.000 4.967 0.000
0.000 0.000 5.601
K Sr Hf Pd
1 1 1 2
direct
0.000 0.000 0.000 K
0.500 0.500 0.000 Sr
0.000 0.000 0.500 Hf
0.000 0.500 0.500 Pd
0.500 0.000 0.500 Pd
```

Calculated values
Total magnetic moment ... 0.00 μB per formula unit
Symmetry ... P4/mmm



Number 1: calculated total energy -20.698 eV/atom. Number 2: calculated total energy -14.270 eV/atom. Number 3: calculated total energy -19.984 eV/atom. Number 4: calculated total energy -28.786 eV/atom. Number 5: calculated total energy -36.941 eV/atom. Number 6: calculated total energy -31.438 eV/atom.